a) # Ba3YSe

Crystalline Ba3YSe at its relaxed geometry (PBE, Alexandria via LeMat-Bulk).

```
5
Lattice="6.2337 0.0000 0.0000 0.0000 6.2337 0.0000 0.0000 0.0000 6.2337" Properties=species:S:1:pos:R:3 pbc="T T T"
Ba 0.0000 3.1169 0.0000
Ba 0.0000 0.0000 3.1169
Ba 3.1169 0.0000 0.0000
Se 3.1169 3.1169 3.1169
Y 0.0000 0.0000 0.0000
```

Computed properties:
Fermi-level density of states	4.513	states/eV/f.u.
total magnetic moment	0.0	Bohr magnetons per cell
calculated volume	242.2	Å³/cell


b) # Ba3YSe

Crystalline Ba3YSe at its relaxed geometry (PBE, Alexandria via LeMat-Bulk).

```
5
Lattice="6.3431 0.0000 0.0000 0.0000 6.3431 0.0000 0.0000 0.0000 6.3431" Properties=species:S:1:pos:R:3 pbc="T T T"
Ba 0.0000 0.0000 3.1716
Ba 3.1716 0.0000 0.0000
Ba 0.0000 3.1716 0.0000
Se 0.0000 0.0000 0.0000
Y 3.1716 3.1716 3.1716
```

Computed properties:
Fermi-level density of states	8.454	states/eV/f.u.
total magnetic moment	1.0	Bohr magnetons per cell
calculated volume	255.2	Å³/cell


The most stable arrangement is b), and the next structure is 79.3 kJ/mol of atoms less stable.


a) # BaY2Se4

Crystalline BaY2Se4 at its relaxed geometry (PBE, Alexandria via LeMat-Bulk).

```
28
Lattice="4.2188 0.0000 0.0000 0.0000 12.8616 0.0000 0.0000 0.0000 15.2372" Properties=species:S:1:pos:R:3 pbc="T T T"
Ba 1.0547 3.3382 12.7242
Ba 1.0547 9.7690 10.1316
Ba 3.1641 9.5234 2.5130
Ba 3.1641 3.0926 5.1056
Se 3.1641 6.1159 3.3005
Se 3.1641 7.5257 8.7922
Se 1.0547 2.6511 2.4850
Se 1.0547 1.6214 7.2327
Se 1.0547 8.0522 0.3859
Se 3.1641 3.7797 10.1036
Se 1.0547 0.3149 10.9191
Se 1.0547 9.0819 5.1336
Se 3.1641 12.5466 4.3181
Se 1.0547 11.7667 1.1736
Se 1.0547 5.3359 6.4450
Se 3.1641 11.2401 8.0045
Se 3.1641 1.0949 14.0636
Se 1.0547 6.7457 11.9367
Se 3.1641 4.8093 14.8513
Se 3.1641 10.2105 12.7522
Y 3.1641 7.4512 13.7196
Y 1.0547 11.8411 6.1010
Y 3.1641 1.0204 9.1362
Y 1.0547 5.6057 9.2751
Y 3.1641 7.2559 5.9621
Y 3.1641 0.8251 1.6565
Y 1.0547 5.4104 1.5176
Y 1.0547 12.0364 13.5807
```

Computed properties:
total magnetic moment	0.0	Bohr magnetons per cell
calculated volume	826.8	Å³/cell


b) # BaY2Se4

Crystalline BaY2Se4 at its relaxed geometry (PBE, Alexandria via LeMat-Bulk).

```
14
Lattice="4.2220 0.0000 0.0000 -2.1110 6.8753 0.0000 0.0000 0.0000 14.2852" Properties=species:S:1:pos:R:3 pbc="T T T"
Y 2.1110 5.0208 8.0926
Y 0.0000 1.8545 6.1926
Y 2.1110 5.0208 13.3352
Y 0.0000 1.8545 0.9500
Se 2.1110 0.0000 0.0000
Se 2.1110 3.6817 1.5978
Se 0.0000 3.1936 12.6874
Se 2.1110 5.9752 10.7139
Se 0.0000 3.1936 8.7403
Se 2.1110 0.0000 7.1426
Se 2.1110 3.6817 5.5448
Se 0.0000 0.9001 3.5713
Ba 2.1110 1.5071 10.7139
Ba 0.0000 5.3682 3.5713
```

Computed properties:
total magnetic moment	0.0	Bohr magnetons per cell
calculated volume	414.7	Å³/cell


The most stable arrangement is a), and the next structure is 2.5 kJ/mol of atoms less stable.


a) # BaZn3Se

Crystalline BaZn3Se at its relaxed geometry (PBE, Alexandria via LeMat-Bulk).

```
5
Lattice="5.2444 0.0000 0.0000 0.0000 5.2444 0.0000 0.0000 0.0000 5.2444" Properties=species:S:1:pos:R:3 pbc="T T T"
Zn 2.6222 0.0000 0.0000
Zn 0.0000 0.0000 2.6222
Zn 0.0000 2.6222 0.0000
Se 0.0000 0.0000 0.0000
Ba 2.6222 2.6222 2.6222
```

Computed properties:
Fermi-level density of states	3.751	states/eV/f.u.
total magnetic moment	0.0	Bohr magnetons per cell
calculated volume	144.2	Å³/cell


b) # BaZn3Se

Crystalline BaZn3Se at its relaxed geometry (PBE, Alexandria via LeMat-Bulk).

```
5
Lattice="-5.7382 1.1573 1.7543 -1.9509 -1.0363 -5.6977 -0.7815 -5.9102 1.3426" Properties=species:S:1:pos:R:3 pbc="T T T"
Se -4.2353 -2.8946 -1.3005
Ba 0.0000 0.0000 0.0000
Zn -0.3908 -2.9551 0.6713
Zn -0.9754 -0.5182 -2.8489
Zn -2.8691 0.5786 0.8771
```

Computed properties:
Fermi-level density of states	3.148	states/eV/f.u.
total magnetic moment	0.0	Bohr magnetons per cell
calculated volume	228.2	Å³/cell


The most stable arrangement is a), and the next structure is 67.6 kJ/mol of atoms less stable.


a) # BaZnSe

Crystalline BaZnSe at its relaxed geometry (PBE, Alexandria via LeMat-Bulk).

```
3
Lattice="5.6646 -0.3410 0.3917 4.0634 3.9598 0.3920 1.6012 0.5929 4.2597" Properties=species:S:1:pos:R:3 pbc="T T T"
Ba 9.6630 3.5946 0.8115
Zn 6.8608 2.5512 2.0101
Se 4.5336 1.6847 3.0055
```

Computed properties:
total magnetic moment	0.0	Bohr magnetons per cell
calculated volume	98.4	Å³/cell


b) # BaZnSe

Crystalline BaZnSe at its relaxed geometry (PBE, Alexandria via LeMat-Bulk).

```
3
Lattice="-1.8509 -2.1005 3.7982 3.2244 -2.2533 -2.6057 3.5842 1.8962 2.7953" Properties=species:S:1:pos:R:3 pbc="T T T"
Zn 3.7268 -1.0415 1.2402
Ba 3.5749 1.8913 2.7880
Se 1.2400 -1.4112 2.7548
```

Computed properties:
total magnetic moment	0.0	Bohr magnetons per cell
calculated volume	95.0	Å³/cell


c) # BaZnSe

Crystalline BaZnSe at its relaxed geometry (PBE, Alexandria via LeMat-Bulk).

```
3
Lattice="5.4070 0.0000 0.0000 2.7035 4.6826 0.0000 2.7035 1.5609 4.4148" Properties=species:S:1:pos:R:3 pbc="T T T"
Se 8.1105 4.6826 3.3111
Ba 5.4070 3.1217 2.2074
Zn 0.0000 0.0000 0.0000
```

Computed properties:
total magnetic moment	0.0	Bohr magnetons per cell
calculated volume	111.8	Å³/cell


The most stable arrangement is b), and the next structure is 7.5 kJ/mol of atoms less stable.


a) # Ba2Zn2Se

Crystalline Ba2Zn2Se at its relaxed geometry (PBE, Alexandria via LeMat-Bulk).

```
5
Lattice="6.2706 0.0000 0.0000 0.0000 6.2706 0.0000 3.1353 3.1353 4.3880" Properties=species:S:1:pos:R:3 pbc="T T T"
Zn 3.1353 3.1353 1.2310
Zn 6.2706 6.2706 3.1570
Ba 3.1353 6.2706 2.1940
Ba 6.2706 3.1353 2.1940
Se 0.0000 0.0000 0.0000
```

Computed properties:
Fermi-level density of states	6.660	states/eV/f.u.
total magnetic moment	0.0	Bohr magnetons per cell
calculated volume	172.5	Å³/cell


b) # Ba2Zn2Se

Crystalline Ba2Zn2Se at its relaxed geometry (PBE, Alexandria via LeMat-Bulk).

```
10
Lattice="8.4883 0.0000 0.0000 0.0000 8.4883 0.0000 0.0000 0.0000 4.4671" Properties=species:S:1:pos:R:3 pbc="T T T"
Ba 6.8493 2.6051 2.2335
Ba 2.6051 1.6390 2.2335
Ba 1.6390 5.8832 2.2335
Ba 5.8832 6.8493 2.2335
Se 4.2442 4.2442 0.0000
Se 0.0000 0.0000 0.0000
Zn 0.8923 3.3519 0.0000
Zn 3.3519 7.5960 0.0000
Zn 5.1365 0.8923 0.0000
Zn 7.5960 5.1365 0.0000
```

Computed properties:
Fermi-level density of states	1.729	states/eV/f.u.
total magnetic moment	0.0	Bohr magnetons per cell
calculated volume	321.9	Å³/cell


The most stable arrangement is b), and the next structure is 16.6 kJ/mol of atoms less stable.


a) # BaZr3Se

Crystalline BaZr3Se at its relaxed geometry (PBE, Alexandria via LeMat-Bulk).

```
5
Lattice="-1.3412 2.3150 -4.5752 4.3993 -1.9098 -2.2559 -2.6340 -4.3685 -1.4382" Properties=species:S:1:pos:R:3 pbc="T T T"
Ba 0.0000 0.0000 0.0000
Zr -1.3170 -2.1843 -0.7191
Zr -0.6706 1.1575 -2.2876
Zr 2.1997 -0.9549 -1.1280
Se 0.2121 -1.9817 -4.1347
```

Computed properties:
Fermi-level density of states	10.072	states/eV/f.u.
total magnetic moment	0.0	Bohr magnetons per cell
calculated volume	148.9	Å³/cell


b) # BaZr3Se

Crystalline BaZr3Se at its relaxed geometry (PBE, Alexandria via LeMat-Bulk).

```
5
Lattice="-0.8958 -5.1444 0.1357 5.0644 -0.9057 -0.9043 0.9141 -0.0235 5.1429" Properties=species:S:1:pos:R:3 pbc="T T T"
Zr 2.5322 -0.4529 -0.4521
Zr -0.4479 -2.5722 0.0678
Zr 0.4571 -0.0118 2.5715
Ba 2.5413 -3.0368 2.1872
Se 0.0000 0.0000 0.0000
```

Computed properties:
Fermi-level density of states	5.339	states/eV/f.u.
total magnetic moment	0.0	Bohr magnetons per cell
calculated volume	142.5	Å³/cell


The most stable arrangement is b), and the next structure is 163.5 kJ/mol of atoms less stable.


a) # BaZrSe

Crystalline BaZrSe at its relaxed geometry (PBE, Alexandria via LeMat-Bulk).

```
3
Lattice="-0.1973 3.6069 3.6063 2.4252 -0.6926 4.4377 4.1605 2.7486 1.0909" Properties=species:S:1:pos:R:3 pbc="T T T"
Se 4.7913 4.2472 6.8512
Zr 0.0000 0.0000 0.0000
Ba 3.1942 2.8315 4.5674
```

Computed properties:
Fermi-level density of states	2.522	states/eV/f.u.
total magnetic moment	2.0	Bohr magnetons per cell
calculated volume	94.0	Å³/cell


b) # BaZrSe

Crystalline BaZrSe at its relaxed geometry (PBE, Alexandria via LeMat-Bulk).

```
3
Lattice="3.9041 0.0000 0.0000 -1.9521 3.3811 0.0000 0.0000 0.0000 7.0224" Properties=species:S:1:pos:R:3 pbc="T T T"
Se 0.0000 2.2540 2.6009
Ba 0.0000 0.0000 0.3195
Zr 1.9521 1.1270 4.1020
```

Computed properties:
Fermi-level density of states	2.197	states/eV/f.u.
total magnetic moment	0.1	Bohr magnetons per cell
calculated volume	92.7	Å³/cell


c) # BaZrSe

Crystalline BaZrSe at its relaxed geometry (PBE, Alexandria via LeMat-Bulk).

```
3
Lattice="-0.6232 5.3628 0.7415 -0.4649 2.0178 5.0408 4.0553 2.9441 2.1412" Properties=species:S:1:pos:R:3 pbc="T T T"
Se 0.0000 0.0000 0.0000
Ba 2.2253 7.7435 5.9426
Zr 1.4836 5.1623 3.9618
```

Computed properties:
Fermi-level density of states	3.738	states/eV/f.u.
total magnetic moment	3.9	Bohr magnetons per cell
calculated volume	114.4	Å³/cell


d) # BaZrSe

Crystalline BaZrSe at its relaxed geometry (PBE, Alexandria via LeMat-Bulk).

```
3
Lattice="4.6614 0.0000 0.0000 -2.3307 4.0369 0.0000 0.0000 0.0000 5.1819" Properties=species:S:1:pos:R:3 pbc="T T T"
Ba 0.0000 0.0000 0.0013
Zr 2.3307 1.3456 2.5909
Se 0.0000 2.6913 2.5897
```

Computed properties:
Fermi-level density of states	2.831	states/eV/f.u.
total magnetic moment	1.7	Bohr magnetons per cell
calculated volume	97.5	Å³/cell


The most stable arrangement is b), and the next structure is 14.9 kJ/mol of atoms less stable.


a) # BaZr4Se8

Crystalline BaZr4Se8 at its relaxed geometry (PBE, Alexandria via LeMat-Bulk).

```
13
Lattice="6.8988 0.0000 3.1461 2.7320 6.3348 3.1461 0.0101 0.0066 9.1148" Properties=species:S:1:pos:R:3 pbc="T T T"
Se 3.8957 4.8634 5.0981
Se 6.0086 1.6512 5.0981
Se 7.3939 4.8635 6.6935
Se 2.5666 1.6882 3.5088
Se 5.7452 1.4779 10.3089
Se 3.6323 4.6902 10.3089
Se 7.0742 4.6532 11.8983
Se 2.2469 1.4779 8.7136
Zr 4.8154 3.1674 3.1461
Zr 0.0000 0.0000 0.0000
Zr 1.3660 3.1674 1.5731
Zr 3.4494 0.0000 1.5731
Ba 4.8204 3.1707 7.7035
```

Computed properties:
Fermi-level density of states	6.076	states/eV/f.u.
total magnetic moment	0.0	Bohr magnetons per cell
calculated volume	398.0	Å³/cell


b) # BaZr4Se8

Crystalline BaZr4Se8 at its relaxed geometry (PBE, Alexandria via LeMat-Bulk).

```
13
Lattice="8.2235 0.0000 0.0000 4.1117 7.1217 0.0000 4.1117 2.3739 6.7144" Properties=species:S:1:pos:R:3 pbc="T T T"
Se 4.1117 4.5988 0.8920
Se 8.2235 4.7478 1.2759
Se 4.1117 2.3739 4.0384
Se 9.9229 5.7290 4.0510
Se 8.2235 2.7855 4.0510
Se 6.5241 5.7290 4.0510
Se 6.0385 1.2615 0.8920
Se 2.1850 1.2615 0.8920
Zr 10.4132 3.4835 2.4632
Zr 8.2235 7.2763 2.4632
Zr 6.0337 3.4835 2.4632
Zr 8.2235 4.7478 6.0391
Ba 12.3352 7.1217 5.0358
```

Computed properties:
Fermi-level density of states	7.786	states/eV/f.u.
total magnetic moment	0.4	Bohr magnetons per cell
calculated volume	393.2	Å³/cell


The most stable arrangement is a), and the next structure is 17.4 kJ/mol of atoms less stable.


a) # Ba3Si

Crystalline Ba3Si at its relaxed geometry (PBE, Alexandria via LeMat-Bulk).

```
4
Lattice="4.5070 0.0000 0.0000 0.0000 4.2685 0.0000 0.0000 0.0000 11.1351" Properties=species:S:1:pos:R:3 pbc="T T T"
Ba 2.2535 2.1342 1.1862
Ba 2.2535 0.0000 8.6742
Ba 0.0000 2.1342 5.0834
Si 0.0000 0.0000 11.0381
```

Computed properties:
Fermi-level density of states	5.133	states/eV/f.u.
total magnetic moment	0.2	Bohr magnetons per cell
calculated volume	214.2	Å³/cell


b) # Ba3Si

Crystalline Ba3Si at its relaxed geometry (PBE, Alexandria via LeMat-Bulk).

```
4
Lattice="6.7469 0.0015 0.0040 -2.9031 6.0904 0.0040 -2.9031 -4.6009 3.9905" Properties=species:S:1:pos:R:3 pbc="T T T"
Ba 1.9219 3.0459 0.0040
Ba 0.0000 0.0000 0.0000
Ba 1.9219 -2.2997 1.9972
Si -2.9031 0.7447 1.9972
```

Computed properties:
Fermi-level density of states	5.060	states/eV/f.u.
total magnetic moment	0.0	Bohr magnetons per cell
calculated volume	164.2	Å³/cell


c) # Ba3Si

Crystalline Ba3Si at its relaxed geometry (PBE, Alexandria via LeMat-Bulk).

```
4
Lattice="4.6640 0.0000 0.0000 -2.3320 4.0392 0.0000 0.0000 0.0000 11.4013" Properties=species:S:1:pos:R:3 pbc="T T T"
Si 2.3320 1.3464 8.5510
Ba 0.0000 0.0000 6.6784
Ba 2.3320 1.3464 2.8503
Ba 0.0000 0.0000 10.4236
```

Computed properties:
Fermi-level density of states	4.077	states/eV/f.u.
total magnetic moment	0.2	Bohr magnetons per cell
calculated volume	214.8	Å³/cell


The most stable arrangement is c), and the next structure is 6.8 kJ/mol of atoms less stable.


a) # Ba3Si

Crystalline Ba3Si at its relaxed geometry (PBE, Alexandria via LeMat-Bulk).

```
4
Lattice="-1.7062 5.3458 2.2354 -5.7062 1.8678 -0.6611 -3.6742 0.2375 4.7885" Properties=species:S:1:pos:R:3 pbc="T T T"
Ba 0.0000 0.0000 0.0000
Ba -2.7716 1.8628 1.5907
Ba -5.5433 3.7255 3.1814
Si -8.3149 5.5883 4.7721
```

Computed properties:
Fermi-level density of states	5.694	states/eV/f.u.
total magnetic moment	0.3	Bohr magnetons per cell
calculated volume	155.8	Å³/cell


b) # Ba3Si

Crystalline Ba3Si at its relaxed geometry (PBE, Alexandria via LeMat-Bulk).

```
16
Lattice="-1.4543 6.0952 4.5976 -2.6393 -7.0481 1.9398 10.2431 -2.1570 6.0995" Properties=species:S:1:pos:R:3 pbc="T T T"
Ba 1.7138 0.2458 3.2249
Ba 3.8019 -4.6025 4.0197
Ba -0.5049 -0.2707 6.7681
Ba -2.0468 -0.4765 3.2687
Ba 4.3944 1.9691 5.3486
Ba -0.7271 3.0476 2.2988
Ba 3.0748 -1.5550 6.3185
Ba 0.9256 3.5493 5.7168
Ba 6.6544 -2.8393 5.8689
Ba 4.4357 -3.3557 9.4121
Ba 5.2239 -6.6593 6.9203
Ba -1.3197 -3.5240 0.9699
Si 0.3165 -3.2062 4.3507
Si 5.1216 -1.0785 3.0498
Si 0.0000 0.0000 0.0000
Si 5.8331 0.0963 8.2864
```

Computed properties:
Fermi-level density of states	2.793	states/eV/f.u.
total magnetic moment	0.0	Bohr magnetons per cell
calculated volume	633.8	Å³/cell


c) # Ba3Si

Crystalline Ba3Si at its relaxed geometry (PBE, Alexandria via LeMat-Bulk).

```
4
Lattice="-8.4591 -7.1808 1.4281 -6.2579 -8.8850 -2.6561 -4.4816 -10.0921 1.7956" Properties=species:S:1:pos:R:3 pbc="T T T"
Ba -9.5993 -13.0790 0.2838
Ba -13.7563 -18.7428 0.4067
Ba -5.4423 -7.4151 0.1609
Si 0.0000 0.0000 0.0000
```

Computed properties:
Fermi-level density of states	6.662	states/eV/f.u.
total magnetic moment	0.0	Bohr magnetons per cell
calculated volume	228.9	Å³/cell


d) # Ba3Si

Crystalline Ba3Si at its relaxed geometry (PBE, Alexandria via LeMat-Bulk).

```
16
Lattice="-2.8242 -5.9516 3.6636 7.7522 -1.6682 3.2659 -2.4003 6.7772 9.1593" Properties=species:S:1:pos:R:3 pbc="T T T"
Ba 1.8361 -1.1851 2.4290
Ba -2.8428 1.8968 11.5835
Ba 1.5444 -2.0655 10.4055
Ba 0.9832 1.2228 5.6833
Ba 5.3703 -2.7395 4.5054
Ba 4.5175 -0.3316 7.7597
Ba 4.4053 -5.0293 8.5765
Ba -1.9899 -0.5111 8.3292
Ba -1.8777 4.1866 7.5124
Ba 1.1552 -2.8761 6.1315
Ba 0.6915 0.3424 13.6598
Ba 1.3724 2.0334 9.9573
Si 3.9402 0.3730 4.4573
Si 3.5792 0.3014 11.8172
Si -1.0516 -1.1440 4.2717
Si -1.4126 -1.2157 11.6315
```

Computed properties:
Fermi-level density of states	2.525	states/eV/f.u.
total magnetic moment	0.0	Bohr magnetons per cell
calculated volume	752.7	Å³/cell


The most stable arrangement is d), and the next structure is 14.3 kJ/mol of atoms less stable.